(1)
Ac2AlHgAu6: relaxed, PBE.

## Properties
M_tot	0.00	μB per atom
formation energy from the elements	-516	meV per atom
space-group type	C2/m, No. 12

Cell lengths 5.6734, 9.2447, 7.0217 Å; angles 51.72, 66.16, 89.99 degrees
Atoms (fractional coordinates):
Ac 0.2601 0.7911 0.4797
Ac 0.7399 0.2089 0.5203
Al 0.5000 0.5000 0.0000
Hg 0.0000 0.0000 0.0000
Au 0.2642 0.7445 0.9723
Au 0.7634 0.7447 0.9721
Au 0.2530 0.4083 0.4943
Au 0.7358 0.2555 0.0277
Au 0.2366 0.2553 0.0279
Au 0.7470 0.5917 0.5057



(2)
Tm4ScPd5: relaxed, PBE.

## Properties
M_tot	0.00	μB per atom
formation energy from the elements	-922	meV per atom
space-group type	P4/mmm, No. 123

Cell lengths 3.4011, 3.4011, 17.4782 Å; angles 90.00, 90.00, 90.00 degrees
Atoms (fractional coordinates):
Tm 0.0000 0.0000 0.1946
Tm 0.0000 0.0000 0.3980
Tm 0.0000 0.0000 0.6020
Tm 0.0000 0.0000 0.8054
Sc 0.0000 0.0000 0.0000
Pd 0.5000 0.5000 0.0914
Pd 0.5000 0.5000 0.2965
Pd 0.5000 0.5000 0.5000
Pd 0.5000 0.5000 0.7035
Pd 0.5000 0.5000 0.9086



(3)
Li2PaI7: relaxed, PBE.

## Properties
formation energy (no corrections)	-9.7	eV per formula unit
M_tot	0.00	μB per atom
space-group type	C2/c, No. 15

Cell lengths 9.7323, 7.9614, 15.6194 Å; angles 67.93, 71.85, 52.32 degrees
Atoms (fractional coordinates):
Li 0.5831 0.8042 0.7415
Li 0.8712 0.3042 0.2415
Li 0.1288 0.6958 0.7585
Li 0.4169 0.1958 0.2585
Pa 0.7146 0.2500 0.7500
Pa 0.2854 0.7500 0.2500
I 0.3861 0.5932 0.8561
I 0.1646 0.0932 0.3561
I 0.1681 0.1363 0.0899
I 0.0791 0.1097 0.6535
I 0.3836 0.2500 0.7500
I 0.6056 0.6363 0.5899
I 0.8423 0.3903 0.8465
I 0.1577 0.6097 0.1535
I 0.3944 0.3637 0.4101
I 0.6164 0.7500 0.2500
I 0.9209 0.8903 0.3465
I 0.8319 0.8637 0.9101
I 0.8354 0.9068 0.6439
I 0.6139 0.4068 0.1439



(4)
Er3Ni7B2: relaxed, PBE.

## Properties
M_tot	0.00	μB per atom
formation energy from the elements	-533	meV per atom
space-group type	P6_3/mmc, No. 194

Cell lengths 5.0500, 5.0500, 14.2898 Å; angles 90.00, 90.00, 120.00 degrees
Atoms (fractional coordinates):
Er 0.3333 0.6667 0.4676
Er 0.6667 0.3333 0.9676
Er 0.6667 0.3333 0.5324
Er 0.3333 0.6667 0.0324
Er 0.6667 0.3333 0.7500
Er 0.3333 0.6667 0.2500
Ni 0.8343 0.1657 0.3513
Ni 0.8343 0.6687 0.3513
Ni 0.0000 0.0000 0.0000
Ni 0.0000 0.0000 0.5000
Ni 0.8343 0.6687 0.1487
Ni 0.1657 0.8343 0.6487
Ni 0.6687 0.8343 0.6487
Ni 0.3313 0.1657 0.1487
Ni 0.8343 0.1657 0.1487
Ni 0.1657 0.3313 0.8513
Ni 0.1657 0.8343 0.8513
Ni 0.1657 0.3313 0.6487
Ni 0.6687 0.8343 0.8513
Ni 0.3313 0.1657 0.3513
B 0.6667 0.3333 0.2500
B 0.3333 0.6667 0.7500
B 0.0000 0.0000 0.7500
B 0.0000 0.0000 0.2500